(1)
LiCu3F10 | GGA-PBE | optimized geometry

a = 3.794 Å, b = 7.198 Å, c = 14.399 Å
α = 90.00°, β = 90.16°, γ = 90.00°
Fractional coordinates of all 28 atoms:
F 0.480 0.600 0.122
F 0.980 0.433 0.218
F 0.988 0.768 0.840
F 0.982 0.232 0.730
F 0.988 0.232 0.340
F 0.978 0.223 0.533
F 0.978 0.412 0.028
F 0.982 0.900 0.657
F 0.978 0.777 0.033
F 0.480 0.400 0.622
F 0.981 0.127 0.902
F 0.980 0.567 0.718
F 0.982 0.100 0.157
F 0.981 0.873 0.402
F 0.481 0.091 0.028
F 0.481 0.909 0.528
F 0.483 0.002 0.283
F 0.982 0.768 0.230
F 0.483 0.998 0.783
F 0.978 0.588 0.528
Li 0.958 0.402 0.432
Li 0.958 0.598 0.932
Cu 0.980 0.599 0.127
Cu 0.983 0.002 0.282
Cu 0.983 0.998 0.782
Cu 0.981 0.104 0.030
Cu 0.981 0.896 0.530
Cu 0.980 0.401 0.627

Results
**Space group**: No. 7

(2)
Li6CuF12 | GGA-PBE | optimized geometry

a = 5.914 Å, b = 5.914 Å, c = 5.914 Å
α = 97.60°, β = 97.60°, γ = 97.60°
Fractional coordinates of all 19 atoms:
F 0.124 0.285 0.949
F 0.173 0.602 0.413
F 0.602 0.413 0.173
F 0.949 0.124 0.285
F 0.398 0.587 0.827
F 0.051 0.876 0.715
F 0.715 0.051 0.876
F 0.285 0.949 0.124
F 0.413 0.173 0.602
F 0.876 0.715 0.051
F 0.587 0.827 0.398
F 0.827 0.398 0.587
Li 0.390 0.844 0.645
Li 0.610 0.156 0.355
Li 0.844 0.645 0.390
Li 0.156 0.355 0.610
Li 0.355 0.610 0.156
Li 0.645 0.390 0.844
Cu 0.000 0.000 0.000

Results
**Space group**: No. 148

(3)
Li3Cu4F12 | GGA-PBE | optimized geometry

a = 6.521 Å, b = 6.521 Å, c = 6.521 Å
α = 109.47°, β = 109.47°, γ = 109.47°
Fractional coordinates of all 19 atoms:
F 0.187 0.313 0.501
F 0.313 0.501 0.187
F 0.501 0.187 0.313
F 0.687 0.874 0.187
F 0.874 0.187 0.687
F 0.687 0.499 0.813
F 0.126 0.813 0.313
F 0.813 0.313 0.126
F 0.313 0.126 0.813
F 0.813 0.687 0.499
F 0.499 0.813 0.687
F 0.187 0.687 0.874
Cu 0.500 0.500 0.500
Cu 0.000 0.500 0.000
Cu 0.500 0.000 0.000
Cu 0.000 0.000 0.500
Li 0.500 0.500 0.000
Li 0.500 0.000 0.500
Li 0.000 0.500 0.500

Results
**Space group**: No. 204

(4)
Li5CuF8 | GGA-PBE | optimized geometry

a = 5.968 Å, b = 5.968 Å, c = 5.968 Å
α = 58.44°, β = 58.44°, γ = 58.44°
Fractional coordinates of all 14 atoms:
F 0.732 0.268 0.732
F 0.732 0.268 0.268
F 0.268 0.732 0.268
F 0.732 0.732 0.268
F 0.267 0.267 0.267
F 0.268 0.732 0.732
F 0.268 0.268 0.732
F 0.733 0.733 0.733
Li 0.858 0.858 0.858
Li 0.142 0.142 0.142
Li 0.000 0.500 0.500
Li 0.500 0.000 0.500
Li 0.500 0.500 0.000
Cu 0.500 0.500 0.500

Results
**Space group**: No. 166

Ordered total magnetization results: 0.03, 0.99, 4.87, 2.07; unit μB per cell.
Ordered V results: 393, 201, 213, 145; unit Å³ per cell.
Ordered VASP energy results: -3.852, -4.111, -4.293, -4.562; unit eV per atom.